# Tl3SnAs2O8, relaxed, DFT PBE
data_Tl3SnAs2O8
_cell_length_a 5.9203
_cell_length_b 5.9203
_cell_length_c 8.2187
_cell_angle_alpha 90.00
_cell_angle_beta 90.00
_cell_angle_gamma 120.00
_symmetry_space_group_name_H-M 'P -3 m 1'
_symmetry_Int_Tables_number 164
_symmetry_space_group_name_Hall '-P 3 2"'
loop_
_atom_site_label
_atom_site_type_symbol
_atom_site_fract_x
_atom_site_fract_y
_atom_site_fract_z
Tl1 Tl 0.0000 0.0000 0.0000
Tl2 Tl 0.3333 0.6667 0.7546
Sn1 Sn 0.0000 0.0000 0.5000
As1 As 0.3333 0.6667 0.2713
O1 O 0.1708 0.3416 0.3383
O2 O 0.3333 0.6667 0.0643
# ΔE_f (raw) (eV per atom): -1.09
# DOS at the Fermi energy (states/eV/f.u.): 2.6
# Theoretical density (g cm⁻³): 6.72

***

# ZnSnAsO6, relaxed, DFT PBE
data_ZnSnAsO6
_cell_length_a 5.1874
_cell_length_b 5.1874
_cell_length_c 8.7616
_cell_angle_alpha 90.00
_cell_angle_beta 90.00
_cell_angle_gamma 120.00
_symmetry_space_group_name_H-M 'P -3 1 c'
_symmetry_Int_Tables_number 163
_symmetry_space_group_name_Hall '-P 3 2c'
loop_
_atom_site_label
_atom_site_type_symbol
_atom_site_fract_x
_atom_site_fract_y
_atom_site_fract_z
Zn1 Zn 0.0000 0.0000 0.0000
Sn1 Sn 0.3333 0.6667 0.2500
As1 As 0.3333 0.6667 0.7500
O1 O 0.0326 0.3686 0.6314
# ΔE_f (raw) (eV per atom): -1.16
# DOS at the Fermi energy (states/eV/f.u.): 3.2
# Theoretical density (g cm⁻³): 5.77

***

# ZrSnAsO2, relaxed, DFT PBE
data_ZrSnAsO2
_cell_length_a 4.049
_cell_length_b 4.049
_cell_length_c 6.775
_cell_angle_alpha 90.00
_cell_angle_beta 90.00
_cell_angle_gamma 90.00
_symmetry_space_group_name_H-M 'P 4/m m m'
_symmetry_Int_Tables_number 123
_symmetry_space_group_name_Hall '-P 4 2'
loop_
_atom_site_label
_atom_site_type_symbol
_atom_site_fract_x
_atom_site_fract_y
_atom_site_fract_z
Zr1 Zr 0.000 0.000 0.000
Sn1 Sn 0.000 0.000 0.500
As1 As 0.500 0.500 0.500
O1 O 0.000 0.500 0.000
# ΔE_f (raw) (eV per atom): -1.20
# DOS at the Fermi energy (states/eV/f.u.): 3.5
# Theoretical density (g cm⁻³): 4.74

***

# Sr5As3O13, relaxed, DFT PBE
data_Sr5As3O13
_cell_length_a 10.2199
_cell_length_b 10.2199
_cell_length_c 7.4900
_cell_angle_alpha 90.00
_cell_angle_beta 90.00
_cell_angle_gamma 120.00
_symmetry_space_group_name_H-M 'P 63/m'
_symmetry_Int_Tables_number 176
_symmetry_space_group_name_Hall '-P 6c'
loop_
_atom_site_label
_atom_site_type_symbol
_atom_site_fract_x
_atom_site_fract_y
_atom_site_fract_z
Sr1 Sr 0.0060 0.2541 0.2500
Sr2 Sr 0.3333 0.6667 0.0008
As1 As 0.0308 0.3983 0.7500
O1 O 0.0000 0.0000 0.2500
O2 O 0.0924 0.3435 0.5658
O3 O 0.1270 0.5937 0.7500
O4 O 0.1621 0.6762 0.2500
# ΔE_f (raw) (eV per atom): -2.24
# Theoretical density (g cm⁻³): 4.27

***

# Sr2AsO5, relaxed, DFT PBE
data_Sr2AsO5
_cell_length_a 4.091
_cell_length_b 12.100
_cell_length_c 10.723
_cell_angle_alpha 90.00
_cell_angle_beta 90.00
_cell_angle_gamma 90.00
_symmetry_space_group_name_H-M 'C m c m'
_symmetry_Int_Tables_number 63
_symmetry_space_group_name_Hall '-C 2c 2'
loop_
_atom_site_label
_atom_site_type_symbol
_atom_site_fract_x
_atom_site_fract_y
_atom_site_fract_z
Sr1 Sr 0.000 0.140 0.077
As1 As 0.000 0.160 0.750
O1 O 0.000 0.053 0.633
O2 O 0.000 0.263 0.624
O3 O 0.000 0.309 0.250
# ΔE_f (raw) (eV per atom): -1.88
# DOS at the Fermi energy (states/eV/f.u.): 3.3
# Theoretical density (g cm⁻³): 4.13

***

# Sr2AsO, relaxed, DFT PBE
data_Sr2AsO
_cell_length_a 7.238
_cell_length_b 7.238
_cell_length_c 7.238
_cell_angle_alpha 90.00
_cell_angle_beta 90.00
_cell_angle_gamma 90.00
_symmetry_space_group_name_H-M 'F m -3 m'
_symmetry_Int_Tables_number 225
_symmetry_space_group_name_Hall '-F 4 2 3'
loop_
_atom_site_label
_atom_site_type_symbol
_atom_site_fract_x
_atom_site_fract_y
_atom_site_fract_z
Sr1 Sr 0.250 0.250 0.250
As1 As 0.000 0.000 0.000
O1 O 0.000 0.000 0.500
# ΔE_f (raw) (eV per atom): -1.14
# DOS at the Fermi energy (states/eV/f.u.): 3.4
# Theoretical density (g cm⁻³): 4.66

***

# Sr2AsO, relaxed, DFT PBE
data_Sr2AsO
_cell_length_a 7.165
_cell_length_b 7.165
_cell_length_c 8.519
_cell_angle_alpha 90.00
_cell_angle_beta 90.00
_cell_angle_gamma 90.00
_symmetry_space_group_name_H-M 'I -4 2 d'
_symmetry_Int_Tables_number 122
_symmetry_space_group_name_Hall 'I -4 2bw'
loop_
_atom_site_label
_atom_site_type_symbol
_atom_site_fract_x
_atom_site_fract_y
_atom_site_fract_z
Sr1 Sr 0.167 0.250 0.125
As1 As 0.000 0.000 0.500
O1 O 0.000 0.000 0.000
# ΔE_f (raw) (eV per atom): -1.63
# DOS at the Fermi energy (states/eV/f.u.): 0.0
# Theoretical density (g cm⁻³): 4.04

***

# Sr2AsO6, relaxed, DFT PBE
data_Sr2AsO6
_cell_length_a 10.865
_cell_length_b 5.876
_cell_length_c 3.993
_cell_angle_alpha 90.00
_cell_angle_beta 101.78
_cell_angle_gamma 90.00
_symmetry_space_group_name_H-M 'C 1 2/m 1'
_symmetry_Int_Tables_number 12
loop_
_symmetry_equiv_pos_as_xyz
'x,y,z'
'-x,-y,-z'
'-x,y,-z'
'x,-y,z'
'x+1/2,y+1/2,z'
'-x+1/2,-y+1/2,-z'
'-x+1/2,y+1/2,-z'
'x+1/2,-y+1/2,z'
loop_
_atom_site_label
_atom_site_type_symbol
_atom_site_fract_x
_atom_site_fract_y
_atom_site_fract_z
Sr1 Sr 0.164 0.000 0.188
As1 As 0.000 0.500 0.500
O1 O 0.000 0.292 0.000
O2 O 0.123 0.285 0.648
# ΔE_f (raw) (eV per atom): -1.34
# DOS at the Fermi energy (states/eV/f.u.): 2.5
# Theoretical density (g cm⁻³): 4.61

***

# Sr3AsO6, relaxed, DFT PBE
data_Sr3AsO6
_cell_length_a 10.005
_cell_length_b 12.571
_cell_length_c 5.519
_cell_angle_alpha 90.00
_cell_angle_beta 90.00
_cell_angle_gamma 90.00
_symmetry_space_group_name_H-M 'C m c 21'
_symmetry_Int_Tables_number 36
loop_
_symmetry_equiv_pos_as_xyz
'x,y,z'
'-x,-y,z+1/2'
'-x,y,z'
'x,-y,z+1/2'
'x+1/2,y+1/2,z'
'-x+1/2,-y+1/2,z+1/2'
'-x+1/2,y+1/2,z'
'x+1/2,-y+1/2,z+1/2'
loop_
_atom_site_label
_atom_site_type_symbol
_atom_site_fract_x
_atom_site_fract_y
_atom_site_fract_z
Sr1 Sr 0.000 0.102 0.000
Sr2 Sr 0.196 0.391 0.965
As1 As 0.000 0.306 0.421
O1 O 0.000 0.296 0.733
O2 O 0.000 0.435 0.315
O3 O 0.138 0.244 0.294
O4 O 0.162 0.011 0.732
# ΔE_f (raw) (eV per atom): -2.26
# DOS at the Fermi energy (states/eV/f.u.): 0.7
# Theoretical density (g cm⁻³): 4.15

***

# Sr2AsO4, relaxed, DFT PBE
data_Sr2AsO4
_cell_length_a 5.921
_cell_length_b 5.715
_cell_length_c 7.354
_cell_angle_alpha 90.00
_cell_angle_beta 113.71
_cell_angle_gamma 90.00
_symmetry_space_group_name_H-M 'P 1 21/m 1'
_symmetry_Int_Tables_number 11
loop_
_symmetry_equiv_pos_as_xyz
'x,y,z'
'-x,-y,-z'
'-x,y+1/2,-z'
'x,-y+1/2,z'
loop_
_atom_site_label
_atom_site_type_symbol
_atom_site_fract_x
_atom_site_fract_y
_atom_site_fract_z
Sr1 Sr 0.158 0.250 0.036
Sr2 Sr 0.297 0.250 0.571
As1 As 0.288 0.750 0.826
O1 O 0.075 0.515 0.740
O2 O 0.310 0.750 0.093
O3 O 0.443 0.750 0.642
# ΔE_f (raw) (eV per atom): -2.12
# DOS at the Fermi energy (states/eV/f.u.): 1.3
# Theoretical density (g cm⁻³): 4.58

***

# Sr4AsO2, relaxed, DFT PBE
data_Sr4AsO2
_cell_length_a 4.071
_cell_length_b 12.837
_cell_length_c 12.950
_cell_angle_alpha 90.00
_cell_angle_beta 90.00
_cell_angle_gamma 90.00
_symmetry_space_group_name_H-M 'C m c m'
_symmetry_Int_Tables_number 63
_symmetry_space_group_name_Hall '-C 2c 2'
loop_
_atom_site_label
_atom_site_type_symbol
_atom_site_fract_x
_atom_site_fract_y
_atom_site_fract_z
Sr1 Sr 0.000 0.000 0.000
Sr2 Sr 0.000 0.267 0.110
Sr3 Sr 0.000 0.432 0.750
As1 As 0.000 0.114 0.750
O1 O 0.000 0.367 0.553
# ΔE_f (raw) (eV per atom): -1.82
# DOS at the Fermi energy (states/eV/f.u.): 1.5
# Theoretical density (g cm⁻³): 4.49

***

# Sr3As5O12, relaxed, DFT PBE
data_Sr3As5O12
_cell_length_a 13.296
_cell_length_b 13.296
_cell_length_c 13.296
_cell_angle_alpha 90.00
_cell_angle_beta 90.00
_cell_angle_gamma 90.00
_symmetry_space_group_name_H-M 'I a -3 d'
_symmetry_Int_Tables_number 230
_symmetry_space_group_name_Hall '-I 4bd 2c 3'
loop_
_atom_site_label
_atom_site_type_symbol
_atom_site_fract_x
_atom_site_fract_y
_atom_site_fract_z
Sr1 Sr 0.000 0.250 0.125
As1 As 0.000 0.000 0.000
As2 As 0.000 0.250 0.375
O1 O 0.036 0.047 0.653
# ΔE_f (raw) (eV per atom): -1.62
# DOS at the Fermi energy (states/eV/f.u.): 6.8
# Theoretical density (g cm⁻³): 4.69